Record 1
MnFe2Re | GGA-PBE | relaxed

Calculated values
M_tot, μB per atom: 0.02
E_form, eV/atom: 0.044
Raw total energy, eV per cell: -38.37
Distance to the lowest polymorph of the same formula, meV/atom: 11.5

Geometry as extended XYZ:
```
4
Lattice="-1.809 1.809 3.614 1.809 -1.809 3.614 1.809 1.809 -3.614" Properties=species:S:1:pos:R:3 pbc="T T T"
Mn 0.000 0.000 0.000
Fe 1.809 0.000 1.807
Fe 0.000 1.809 1.807
Re 0.000 0.000 3.614
```

Record 2
MnFeRe2 | GGA-PBE | relaxed

Calculated values
M_tot, μB per atom: 1.06
E_form, eV/atom: 0.081
Raw total energy, eV per cell: -42.20
Distance to the lowest polymorph of the same formula, meV/atom: 39.2

Geometry as extended XYZ:
```
4
Lattice="2.613 0.000 0.000 0.000 4.242 0.000 -0.814 0.000 4.864" Properties=species:S:1:pos:R:3 pbc="T T T"
Mn 0.000 0.000 0.000
Fe -0.128 2.121 3.703
Re 0.812 0.000 2.528
Re 1.665 2.121 1.187
```

Record 3
Mn8FeRe3 | GGA-PBE | relaxed

Calculated values
M_tot, μB per atom: 0.13
E_form, eV/atom: -0.007
Raw total energy, eV per cell: -119.25

Geometry as extended XYZ:
```
12
Lattice="2.324 1.342 7.593 -2.324 1.342 7.593 0.000 -2.683 7.593" Properties=species:S:1:pos:R:3 pbc="T T T"
Mn 0.000 0.000 0.000
Mn 0.000 -1.346 9.442
Mn -1.166 0.673 9.442
Mn -1.152 -0.665 13.273
Mn 0.000 0.000 11.377
Mn 1.152 -0.665 13.273
Mn 0.000 1.330 13.273
Mn 1.166 0.673 9.442
Fe 0.000 0.000 15.607
Re 0.000 0.000 4.241
Re 0.000 0.000 7.101
Re 0.000 0.000 18.443
```